Li2GaHg4Pb: relaxed, PBE-GGA.

Lattice parameters (Å, degrees): 5.0580 5.0580 24.5815 90.00 90.00 120.00
Space group R-3m (No. 166, hexagonal axes)
Asymmetric unit:
Li1 0.0000 0.0000 0.2465 [6 per cell]
Ga1 0.0000 0.0000 0.0000 [3 per cell]
Hg1 0.0000 0.0000 0.1158 [6 per cell]
Hg2 0.0000 0.0000 0.3657 [6 per cell]
Pb1 0.0000 0.0000 0.5000 [3 per cell]

Values from the calculation:
* E_tot: -1.62 eV per atom
* calculated volume: 22.7 A^3/atom